Entry from Alexandria via LeMat-Bulk: a relaxed Y3ReB7 crystal (PBE-GGA). Values from VASP.

Properties
- Energy of formation: -0.607 eV per atom
- Energy relative to the lowest polymorph listed for this composition: 0.000 eV per atom
- Space group: No. 63
- DOS at the Fermi energy: 0.46 states/eV/atom
- V: 11.9 Å³/atom

Cell and atoms, written as Quantum ESPRESSO input:
```
&SYSTEM
  ibrav = 0, nat = 22, ntyp = 3
/
ATOMIC_SPECIES
Y 88.91 Y.upf
Re 186.21 Re.upf
B 10.81 B.upf
ATOMIC_POSITIONS crystal
Y 0.105 0.895 0.560
Y 0.105 0.895 0.940
Y 0.242 0.758 0.250
Y 0.758 0.242 0.750
Y 0.895 0.105 0.060
Y 0.895 0.105 0.440
Re 0.053 0.947 0.250
Re 0.947 0.053 0.750
B 0.273 0.727 0.533
B 0.273 0.727 0.967
B 0.368 0.632 0.651
B 0.368 0.632 0.849
B 0.458 0.542 0.250
B 0.479 0.521 0.595
B 0.479 0.521 0.905
B 0.521 0.479 0.095
B 0.521 0.479 0.405
B 0.542 0.458 0.750
B 0.632 0.368 0.151
B 0.632 0.368 0.349
B 0.727 0.273 0.033
B 0.727 0.273 0.467
CELL_PARAMETERS angstrom
1.770 -7.915 0.000
1.770 7.915 0.000
0.000 0.000 9.374
```

Entry from Alexandria via LeMat-Bulk: a relaxed Y3ReB7 crystal (PBE-GGA). Values from VASP.

Properties
- Energy of formation: -0.329 eV per atom
- Energy relative to the lowest polymorph listed for this composition: 0.278 eV per atom
- Space group: No. 63
- DOS at the Fermi energy: 0.53 states/eV/atom
- V: 12.7 Å³/atom

Cell and atoms, written as Quantum ESPRESSO input:
```
&SYSTEM
  ibrav = 0, nat = 22, ntyp = 3
/
ATOMIC_SPECIES
Y 88.91 Y.upf
Re 186.21 Re.upf
B 10.81 B.upf
ATOMIC_POSITIONS crystal
Y 0.029 0.971 0.750
Y 0.165 0.835 0.056
Y 0.165 0.835 0.444
Y 0.835 0.165 0.556
Y 0.835 0.165 0.944
Y 0.971 0.029 0.250
Re 0.226 0.774 0.750
Re 0.774 0.226 0.250
B 0.342 0.658 0.160
B 0.342 0.658 0.340
B 0.382 0.618 0.750
B 0.448 0.552 0.055
B 0.448 0.552 0.445
B 0.448 0.552 0.614
B 0.448 0.552 0.886
B 0.552 0.448 0.114
B 0.552 0.448 0.386
B 0.552 0.448 0.555
B 0.552 0.448 0.945
B 0.618 0.382 0.250
B 0.658 0.342 0.660
B 0.658 0.342 0.840
CELL_PARAMETERS angstrom
1.825 -7.565 0.000
1.825 7.565 0.000
0.000 0.000 10.115
```

Entry from Alexandria via LeMat-Bulk: a relaxed YReB2 crystal (PBE-GGA). Values from VASP.

Properties
- Energy of formation: 0.037 eV per atom
- Energy relative to the lowest polymorph listed for this composition: 0.139 eV per atom
- Space group: No. 141
- DOS at the Fermi energy: 0.06 states/eV/atom
- V: 16.5 Å³/atom

Cell and atoms, written as Quantum ESPRESSO input:
```
&SYSTEM
  ibrav = 0, nat = 16, ntyp = 3
/
ATOMIC_SPECIES
Y 88.91 Y.upf
Re 186.21 Re.upf
B 10.81 B.upf
ATOMIC_POSITIONS crystal
Y 0.000 0.250 0.375
Y 0.000 0.750 0.625
Y 0.500 0.250 0.125
Y 0.500 0.750 0.875
Re 0.000 0.250 0.875
Re 0.000 0.750 0.125
Re 0.500 0.250 0.625
Re 0.500 0.750 0.375
B 0.000 0.000 0.000
B 0.000 0.500 0.000
B 0.250 0.250 0.750
B 0.250 0.750 0.250
B 0.500 0.000 0.500
B 0.500 0.500 0.500
B 0.750 0.250 0.750
B 0.750 0.750 0.250
CELL_PARAMETERS angstrom
4.330 0.000 0.000
0.000 4.330 0.000
0.000 0.000 14.043
```